No. 1
A plane-wave DFT calculation with PBE-GGA was carried out for an optimized crystal structure of Dy5Tm4Pu.

Output
N(E_F)	17.08	states/eV/cell
E_form	0.05	eV/atom
SG	C2/m, No. 12
raw total energy	-5.468	eV/atom
energy relative to the lowest polymorph listed for this composition	0	meV per atom

Cell: 8.479 8.479 11.199 Å, 108.42 108.42 23.62°
Positions (direct):
Dy: 0.000 0.000 0.000
Dy: 0.289 0.289 0.884
Dy: 0.312 0.312 0.423
Dy: 0.688 0.688 0.577
Dy: 0.711 0.711 0.116
Tm: 0.105 0.105 0.298
Tm: 0.417 0.417 0.210
Tm: 0.583 0.583 0.790
Tm: 0.895 0.895 0.702
Pu: 0.000 0.000 0.500

***

No. 2
A plane-wave DFT calculation with PBE-GGA was carried out for an optimized crystal structure of Dy6Tm8Pu.

Output
N(E_F)	28.62	states/eV/cell
E_form	0.28	eV/atom
SG	P-3, No. 147
raw total energy	-4.906	eV/atom

Cell: 9.232 9.232 6.542 Å, 90.00 90.00 120.00°
Positions (direct):
Dy: 0.085 0.405 0.095
Dy: 0.320 0.915 0.095
Dy: 0.405 0.320 0.905
Dy: 0.595 0.680 0.095
Dy: 0.680 0.085 0.905
Dy: 0.915 0.595 0.905
Tm: 0.025 0.688 0.400
Tm: 0.312 0.337 0.400
Tm: 0.333 0.667 0.680
Tm: 0.337 0.025 0.600
Tm: 0.663 0.975 0.400
Tm: 0.667 0.333 0.320
Tm: 0.688 0.663 0.600
Tm: 0.975 0.312 0.600
Pu: 0.000 0.000 0.000